(1)
A PBEsol-optimized structure of BaDyO3, computed with SCAN.

The structure in POSCAR format:
```
BaDyO3
1.0
4.374 0.000 0.000
0.000 4.374 0.000
0.000 0.000 4.374
Ba Dy O
1 1 3
direct
0.000 0.000 0.000
0.500 0.500 0.500
0.000 0.500 0.500
0.500 0.000 0.500
0.500 0.500 0.000
```

Electronic total energy   -120.93 eV per cell
DOS at the Fermi energy   2.08 states/eV per cell
Energy relative to the elements, uncorrected   -1437 kJ/mol of formula units


(2)
A PBEsol-optimized structure of Ca2MgW, computed with SCAN.

The structure in POSCAR format:
```
Ca2MgW
1.0
2.087 -2.145 0.000
2.087 2.145 0.000
0.000 0.000 10.494
Ca Mg W
2 1 1
direct
0.000 0.000 0.226
0.000 0.000 0.774
0.500 0.500 0.500
0.500 0.500 0.000
```

Electronic total energy   -91.29 eV per cell
DFT formation energy   2.70 eV/f.u.
DOS at the Fermi energy   3.06 states/eV per cell


(3)
A PBEsol-optimized structure of Ca3MgMn, computed with SCAN.

The structure in POSCAR format:
```
Ca3MgMn
1.0
5.851 0.000 0.000
0.000 5.851 0.000
0.000 0.000 5.851
Ca Mg Mn
3 1 1
direct
0.000 0.000 0.500
0.000 0.500 0.000
0.500 0.000 0.000
0.000 0.000 0.000
0.500 0.500 0.500
```

Electronic total energy   -49.07 eV per cell
DFT formation energy   3.15 eV/f.u.
DOS at the Fermi energy   4.66 states/eV per cell


(4)
A PBEsol-optimized structure of DyAu3, computed with SCAN.

The structure in POSCAR format:
```
DyAu3
1.0
4.964 0.000 0.000
0.000 6.030 0.000
0.000 0.000 5.073
Dy Au
2 6
direct
0.250 0.250 0.156
0.750 0.750 0.844
0.250 0.507 0.661
0.250 0.750 0.168
0.250 0.993 0.661
0.750 0.007 0.339
0.750 0.250 0.832
0.750 0.493 0.339
```

Electronic total energy   -517.49 eV per cell
DFT formation energy   -3.48 eV/f.u.
DOS at the Fermi energy   2.54 states/eV per cell


(5)
A PBEsol-optimized structure of Ta3Au, computed with SCAN.

The structure in POSCAR format:
```
Ta3Au
1.0
2.901 -4.211 0.000
2.901 4.211 0.000
0.000 0.000 2.852
Ta Au
3 1
direct
0.000 0.000 0.000
0.000 0.500 0.500
0.500 0.000 0.500
0.500 0.500 0.000
```

Electronic total energy   -268.81 eV per cell
DFT formation energy   0.10 eV/f.u.
DOS at the Fermi energy   3.88 states/eV per cell


(6)
A PBEsol-optimized structure of CdAg2AsAu, computed with SCAN.

The structure in POSCAR format:
```
CdAg2AsAu
1.0
5.010 0.000 0.000
0.000 5.010 0.000
0.000 0.000 4.858
Cd Ag As Au
1 2 1 1
direct
0.000 0.000 0.000
0.000 0.500 0.000
0.500 0.000 0.000
0.000 0.000 0.500
0.500 0.500 0.500
```

Electronic total energy   -177.90 eV per cell
DFT formation energy   4.60 eV/f.u.
DOS at the Fermi energy   1.72 states/eV per cell


(7)
A PBEsol-optimized structure of Li3Al, computed with SCAN.

The structure in POSCAR format:
```
Li3Al
1.0
-1.973 1.973 4.246
1.973 -1.973 4.246
1.973 1.973 -4.246
Li Al
3 1
direct
0.000 0.000 0.000
0.250 0.750 0.500
0.750 0.250 0.500
0.500 0.500 0.000
```

Electronic total energy   -15.19 eV per cell
DFT formation energy   -0.26 eV/f.u.
DOS at the Fermi energy   1.56 states/eV per cell


(8)
A PBEsol-optimized structure of LiZn2Pt, computed with SCAN.

The structure in POSCAR format:
```
LiZn2Pt
1.0
-1.843 1.843 3.944
1.843 -1.843 3.944
1.843 1.843 -3.944
Li Zn Pt
1 2 1
direct
0.000 0.000 0.000
0.500 0.500 0.000
0.750 0.250 0.500
0.250 0.750 0.500
```

Electronic total energy   -101.78 eV per cell
DFT formation energy   -2.16 eV/f.u.
DOS at the Fermi energy   1.28 states/eV per cell


(9)
A PBEsol-optimized structure of LaCo2PdPt, computed with SCAN.

The structure in POSCAR format:
```
LaCo2PdPt
1.0
4.386 0.000 0.000
0.000 4.386 0.000
0.000 0.000 5.050
La Co Pd Pt
1 2 1 1
direct
0.000 0.000 0.000
0.000 0.500 0.000
0.500 0.000 0.000
0.500 0.500 0.500
0.000 0.000 0.500
```

Electronic total energy   -173.08 eV per cell
DFT formation energy   7.60 eV/f.u.
DOS at the Fermi energy   3.02 states/eV per cell


(10)
A PBEsol-optimized structure of Sr5Al, computed with SCAN.

The structure in POSCAR format:
```
Sr5Al
1.0
7.185 -2.091 0.000
7.185 2.091 0.000
-3.862 0.000 9.305
Sr Al
5 1
direct
0.000 0.000 0.000
0.336 0.336 0.223
0.369 0.369 0.627
0.631 0.631 0.373
0.664 0.664 0.777
0.000 0.000 0.500
```

Electronic total energy   -119.21 eV per cell
DFT formation energy   -0.08 eV/f.u.
DOS at the Fermi energy   5.97 states/eV per cell


(11)
A PBEsol-optimized structure of BeTeAs, computed with SCAN.

The structure in POSCAR format:
```
BeTeAs
1.0
0.000 3.223 3.223
3.223 0.000 3.223
3.223 3.223 0.000
Be Te As
1 1 1
direct
0.000 0.000 0.000
0.500 0.500 0.500
0.250 0.250 0.250
```

Electronic total energy   -59.42 eV per cell
DOS at the Fermi energy   1.62 states/eV per cell
Energy relative to the elements, uncorrected   229 kJ/mol of formula units


(12)
A PBEsol-optimized structure of Cu3PCl, computed with SCAN.

The structure in POSCAR format:
```
Cu3PCl
1.0
4.321 0.000 0.000
0.000 4.321 0.000
0.000 0.000 4.321
Cu P Cl
3 1 1
direct
0.000 0.000 0.500
0.000 0.500 0.000
0.500 0.000 0.000
0.500 0.500 0.500
0.000 0.000 0.000
```

Electronic total energy   -59.70 eV per cell
DOS at the Fermi energy   2.84 states/eV per cell
Energy relative to the elements, uncorrected   412 kJ/mol of formula units


(13)
A PBEsol-optimized structure of MgTa2P, computed with SCAN.

The structure in POSCAR format:
```
MgTa2P
1.0
3.371 0.000 0.000
0.000 3.371 0.000
0.000 0.000 5.828
Mg Ta P
1 2 1
direct
0.000 0.000 0.000
0.000 0.000 0.480
0.500 0.500 0.723
0.500 0.500 0.253
```

Electronic total energy   -148.80 eV per cell
DFT formation energy   -0.26 eV/f.u.
DOS at the Fermi energy   3.01 states/eV per cell


(14)
A PBEsol-optimized structure of Al2NiSe, computed with SCAN.

The structure in POSCAR format:
```
Al2NiSe
1.0
0.000 3.152 3.152
3.152 0.000 3.152
3.152 3.152 0.000
Al Ni Se
2 1 1
direct
0.000 0.000 0.000
0.250 0.250 0.250
0.500 0.500 0.500
0.750 0.750 0.750
```

Electronic total energy   -50.66 eV per cell
DOS at the Fermi energy   2.20 states/eV per cell
Energy relative to the elements, uncorrected   106 kJ/mol of formula units


(15)
A PBEsol-optimized structure of Ti2Si2Os, computed with SCAN.

The structure in POSCAR format:
```
Ti2Si2Os
1.0
6.157 0.000 0.000
0.000 6.157 0.000
0.000 0.000 3.773
Ti Si Os
4 4 2
direct
0.169 0.331 0.000
0.331 0.831 0.000
0.669 0.169 0.000
0.831 0.669 0.000
0.136 0.636 0.500
0.364 0.136 0.500
0.636 0.864 0.500
0.864 0.364 0.500
0.000 0.000 0.500
0.500 0.500 0.500
```

Electronic total energy   -255.93 eV per cell
DOS at the Fermi energy   6.37 states/eV per cell
Energy relative to the elements, uncorrected   -386 kJ/mol of formula units


(16)
A PBEsol-optimized structure of CdRuS2N, computed with SCAN.

The structure in POSCAR format:
```
CdRuS2N
1.0
4.807 0.000 0.000
0.000 4.807 0.000
0.000 0.000 3.608
Cd Ru S N
1 1 2 1
direct
0.000 0.000 0.000
0.500 0.500 0.500
0.000 0.500 0.500
0.500 0.000 0.500
0.500 0.500 0.000
```

Electronic total energy   -92.83 eV per cell
DOS at the Fermi energy   3.03 states/eV per cell
Energy relative to the elements, uncorrected   92 kJ/mol of formula units


(17)
A PBEsol-optimized structure of YMo6S8, computed with SCAN.

The structure in POSCAR format:
```
YMo6S8
1.0
4.476 2.584 3.752
-4.476 2.584 3.752
0.000 -5.168 3.752
Y Mo S
1 6 8
direct
0.000 0.000 0.000
0.221 0.561 0.420
0.420 0.221 0.561
0.439 0.580 0.779
0.561 0.420 0.221
0.580 0.779 0.439
0.779 0.439 0.580
0.127 0.370 0.756
0.238 0.238 0.238
0.244 0.873 0.630
0.370 0.756 0.127
0.630 0.244 0.873
0.756 0.127 0.370
0.762 0.762 0.762
0.873 0.630 0.244
```

Electronic total energy   -329.55 eV per cell
DOS at the Fermi energy   5.84 states/eV per cell
Energy relative to the elements, uncorrected   -1483 kJ/mol of formula units


(18)
A PBEsol-optimized structure of LaYZr2, computed with SCAN.

The structure in POSCAR format:
```
LaYZr2
1.0
3.292 0.000 0.000
0.000 4.841 0.000
0.000 0.000 6.549
La Y Zr
1 1 2
direct
0.000 0.000 0.000
0.000 0.000 0.500
0.500 0.500 0.254
0.500 0.500 0.746
```

Electronic total energy   -131.53 eV per cell
DFT formation energy   0.82 eV/f.u.
DOS at the Fermi energy   4.77 states/eV per cell


(19)
A PBEsol-optimized structure of Ti2FeP3O12, computed with SCAN.

The structure in POSCAR format:
```
Ti2FeP3O12
1.0
4.320 2.494 6.743
-4.320 2.494 6.743
0.000 -4.989 6.743
Ti Fe P O
4 2 6 24
direct
0.139 0.139 0.139
0.361 0.361 0.361
0.639 0.639 0.639
0.861 0.861 0.861
0.000 0.000 0.000
0.500 0.500 0.500
0.040 0.750 0.460
0.250 0.540 0.960
0.460 0.040 0.750
0.540 0.960 0.250
0.750 0.460 0.040
0.960 0.250 0.540
0.003 0.179 0.382
0.054 0.907 0.262
0.093 0.738 0.946
0.118 0.321 0.497
0.179 0.382 0.003
0.238 0.593 0.446
0.262 0.054 0.907
0.321 0.497 0.118
0.382 0.003 0.179
0.407 0.554 0.762
0.446 0.238 0.593
0.497 0.118 0.321
0.503 0.882 0.679
0.554 0.762 0.407
0.593 0.446 0.238
0.618 0.997 0.821
0.679 0.503 0.882
0.738 0.946 0.093
0.762 0.407 0.554
0.821 0.618 0.997
0.882 0.679 0.503
0.907 0.262 0.054
0.946 0.093 0.738
0.997 0.821 0.618
```

Electronic total energy   -407.33 eV per cell
DOS at the Fermi energy   11.19 states/eV per cell
Energy relative to the elements, uncorrected   -4583 kJ/mol of formula units


(20)
A PBEsol-optimized structure of RbIr3F, computed with SCAN.

The structure in POSCAR format:
```
RbIr3F
1.0
4.434 0.000 0.000
0.000 4.434 0.000
0.000 0.000 4.434
Rb Ir F
1 3 1
direct
0.000 0.000 0.000
0.000 0.500 0.500
0.500 0.000 0.500
0.500 0.500 0.000
0.500 0.500 0.500
```

Electronic total energy   -228.19 eV per cell
DOS at the Fermi energy   6.49 states/eV per cell
Energy relative to the elements, uncorrected   906 kJ/mol of formula units